[1]
! Ba2Zr2Pt3, optimized geometry, DFT PBE; values from VASP
! Symmetry   No. 160
! Total energy   -5.934 eV per atom
&SYSTEM
  ibrav = 0, nat = 7, ntyp = 3
/
ATOMIC_SPECIES
Ba 137.33 Ba.upf
Pt 195.08 Pt.upf
Zr 91.22 Zr.upf
CELL_PARAMETERS angstrom
-7.5398 3.9492 3.9492
-3.9492 3.9492 7.5398
-3.9492 7.5398 3.9492
ATOMIC_POSITIONS angstrom
Ba -3.5355 3.5355 3.5355
Ba -11.6835 11.6835 11.6835
Pt -5.2691 5.2691 5.2691
Pt -9.9582 9.9582 9.9582
Pt -13.5166 13.5166 13.5166
Zr -8.4966 8.4966 8.4966
Zr -15.0825 15.0825 15.0825

[2]
! TbSmAlIr2, optimized geometry, DFT PBE; values from VASP
! Symmetry   No. 44
! Total energy   -7.041 eV per atom
&SYSTEM
  ibrav = 0, nat = 5, ntyp = 4
/
ATOMIC_SPECIES
Al 26.98 Al.upf
Ir 192.22 Ir.upf
Sm 150.36 Sm.upf
Tb 158.93 Tb.upf
CELL_PARAMETERS angstrom
4.0338 -3.8958 -0.3323
-2.2233 -4.0735 3.1659
-1.3382 2.7053 -4.7381
ATOMIC_POSITIONS angstrom
Al 0.0000 0.0000 0.0000
Ir 1.5565 -4.2725 0.1921
Ir -1.0840 -0.9920 -2.0964
Sm -1.2344 -3.0890 0.0690
Tb 1.7067 -2.1750 -1.9735

[3]
! TmSiPt, optimized geometry, DFT PBE; values from VASP
! Symmetry   No. 62
! Total energy   -6.532 eV per atom
&SYSTEM
  ibrav = 0, nat = 12, ntyp = 3
/
ATOMIC_SPECIES
Pt 195.08 Pt.upf
Si 28.09 Si.upf
Tm 168.93 Tm.upf
CELL_PARAMETERS angstrom
6.9060 0.0000 0.0000
0.0000 4.2568 0.0000
0.0000 0.0000 7.4427
ATOMIC_POSITIONS angstrom
Pt 2.0678 1.0642 0.6353
Pt 5.5208 1.0642 3.0860
Pt 1.3852 3.1926 4.3566
Pt 4.8382 3.1926 6.8074
Si 4.7488 1.0642 0.6584
Si 1.2958 1.0642 3.0629
Si 5.6102 3.1926 4.3797
Si 2.1572 3.1926 6.7843
Tm 6.8854 3.1926 1.4950
Tm 3.4324 3.1926 2.2263
Tm 3.4736 1.0642 5.2163
Tm 0.0206 1.0642 5.9477